Compound: KPb
Source: Alexandria via LeMat-Bulk
Functional: PBE
Structure: relaxed

Cell lengths 6.192, 6.192, 6.192 Å; angles 54.24, 54.24, 54.24 degrees
Element x y z (fractional)
K1 0.123 0.123 0.123
K2 0.877 0.877 0.877
Pb1 0.368 0.368 0.368
Pb2 0.632 0.632 0.632

Values from the calculation:
- DFT total energy (Ha/atom) = -0.093
- V (Å³/f.u.) = 72.66
- N(E_F) (states/eV per cell) = 1.73
- energy above the lowest structure with this stoichiometry (meV/atom) = 116.5
- formation enthalpy at 0 K (meV/atom) = -125
- symmetry = No. 166

Compound: CePaS4
Source: Alexandria via LeMat-Bulk
Functional: PBE
Structure: relaxed

Cell lengths 6.361, 6.361, 4.198 Å; angles 90.00, 90.00, 91.01 degrees
Element x y z (fractional)
Ce1 0.000 0.000 0.000
Pa1 0.500 0.500 0.500
S1 0.204 0.204 0.500
S2 0.315 0.685 0.000
S3 0.685 0.315 0.000
S4 0.796 0.796 0.500

Values from the calculation:
- DFT total energy (Ha/atom) = -0.257
- V (Å³/f.u.) = 169.84
- N(E_F) (states/eV per cell) = 8.09
- energy above the lowest structure with this stoichiometry (meV/atom) = 0.0
- symmetry = No. 65
- formation energy (no corrections) (eV/atom) = -1.6633